First-principles (PBE) data for a relaxed PrIrO6 crystal, as listed in Alexandria via LeMat-Bulk.

## Properties
- Total energy: -6.565 eV/atom
- DOS(E_F): 0.32 states/eV/atom
- SG: C2/m

Lattice parameters (Å, degrees): 4.639 4.639 4.662 82.34 82.34 97.75
Fractional positions:
1 Pr 0.500 0.500 0.500
2 Ir 0.000 0.000 0.000
3 O 0.087 0.713 0.285
4 O 0.713 0.087 0.285
5 O 0.287 0.913 0.715
6 O 0.913 0.287 0.715
7 O 0.285 0.285 0.089
8 O 0.715 0.715 0.911